Compound: Zn3CrFe
Source: Alexandria via LeMat-Bulk
Functional: meta-GGA SCAN
Structure: PBEsol geometry

## Properties
- formation energy (eV/atom) = 1.11
- space-group type = Pm-3m, No. 221
- final energy (eV/atom) = -14.299

Unit cell a=4.578 b=4.578 c=4.578 alpha=90.00 beta=90.00 gamma=90.00
Last column: magnetic moment on the atom in μB.
Fractional positions:
Fe: 0.500 0.500 0.500  3.42
Zn: 0.000 0.000 0.500  0.09
Zn: 0.500 0.000 0.000  0.09
Zn: 0.000 0.500 0.000  0.09
Cr: 0.000 0.000 0.000  3.67

=====

Compound: ZnCrFe2
Source: Alexandria via LeMat-Bulk
Functional: meta-GGA SCAN
Structure: PBEsol geometry

## Properties
- formation energy (eV/atom) = 0.11
- space-group type = Pmmm, No. 47
- final energy (eV/atom) = -16.935

Unit cell a=2.529 b=3.472 c=5.711 alpha=90.00 beta=116.30 gamma=90.00
Last column: magnetic moment on the atom in μB.
Fractional positions:
Zn: 0.500 0.500 0.000  -0.07
Cr: 0.000 0.500 0.500  -2.55
Fe: 0.738 0.000 0.738  2.23
Fe: 0.262 0.000 0.262  2.23

=====

Compound: ZrCrFe2
Source: Alexandria via LeMat-Bulk
Functional: meta-GGA SCAN
Structure: PBEsol geometry

## Properties
- formation energy (eV/atom) = 0.21
- space-group type = P4/mmm, No. 123
- final energy (eV/atom) = -21.123

Unit cell a=2.981 b=4.174 c=4.174 alpha=90.00 beta=90.00 gamma=90.00
Last column: magnetic moment on the atom in μB.
Fractional positions:
Cr: 0.500 0.000 0.000  2.52
Fe: 0.000 0.000 0.500  -0.06
Fe: 0.000 0.500 0.000  -0.06
Zr: 0.500 0.500 0.500  -0.07

=====

Compound: Zr2CrFe3
Source: Alexandria via LeMat-Bulk
Functional: meta-GGA SCAN
Structure: PBEsol geometry

## Properties
- formation energy (eV/atom) = -0.12
- space-group type = Amm2, No. 38
- final energy (eV/atom) = -22.477

Unit cell a=4.754 b=4.865 c=8.112 alpha=90.00 beta=90.00 gamma=119.25
Last column: magnetic moment on the atom in μB.
Fractional positions:
Zr: 0.333 0.666 0.684  -0.47
Zr: 0.665 0.330 0.190  -0.30
Cr: 0.169 0.839 0.000  -0.16
Fe: 0.830 0.661 0.500  2.15
Fe: 0.996 0.993 0.748  2.06
Fe: 0.333 0.165 0.500  2.21
Fe: 0.996 0.993 0.252  2.06
Fe: 0.177 0.355 0.000  1.59
Zr: 0.333 0.666 0.316  -0.47
Zr: 0.665 0.330 0.810  -0.30
Cr: 0.670 0.839 0.000  -0.16
Fe: 0.832 0.165 0.500  2.21

=====

Compound: Zr2CrFe3
Source: Alexandria via LeMat-Bulk
Functional: meta-GGA SCAN
Structure: PBEsol geometry

## Properties
- formation energy (eV/atom) = -0.12
- space-group type = P6_3/mmc, No. 194
- final energy (eV/atom) = -22.484

Unit cell a=4.935 b=4.935 c=7.787 alpha=90.00 beta=90.00 gamma=120.00
Last column: magnetic moment on the atom in μB.
Fractional positions:
Fe: 0.663 0.831 0.750  1.83
Zr: 0.333 0.667 0.438  -0.28
Fe: 0.169 0.831 0.750  1.83
Zr: 0.333 0.667 0.062  -0.28
Cr: 0.000 0.000 0.500  -1.81
Fe: 0.831 0.169 0.250  1.83
Zr: 0.667 0.333 0.562  -0.28
Fe: 0.169 0.337 0.750  1.83
Zr: 0.667 0.333 0.938  -0.28
Fe: 0.337 0.169 0.250  1.83
Cr: 0.000 0.000 0.000  -1.81
Fe: 0.831 0.663 0.250  1.83

=====

Compound: Cr3Ga4
Source: Alexandria via LeMat-Bulk
Functional: meta-GGA SCAN
Structure: PBEsol geometry

## Properties
- formation energy (eV/atom) = -0.04
- space-group type = C2/m, No. 12
- final energy (eV/atom) = -17.264

Unit cell a=6.276 b=6.276 c=7.751 alpha=78.33 beta=78.33 gamma=75.83
Fractional positions:
Ga: 0.285 0.285 0.904
Cr: 0.331 0.957 0.145
Ga: 0.458 0.846 0.442
Ga: 0.846 0.458 0.442
Ga: 0.049 0.049 0.647
Cr: 0.669 0.043 0.855
Cr: 0.000 0.000 0.000
Ga: 0.812 0.390 0.846
Cr: 0.229 0.229 0.339
Ga: 0.154 0.542 0.558
Cr: 0.505 0.505 0.666
Ga: 0.188 0.610 0.154
Cr: 0.495 0.495 0.334
Ga: 0.715 0.715 0.096
Ga: 0.390 0.812 0.846
Cr: 0.043 0.669 0.855
Ga: 0.610 0.188 0.154
Ga: 0.542 0.154 0.558
Cr: 0.957 0.331 0.145
Cr: 0.771 0.771 0.661
Ga: 0.951 0.951 0.353

=====

Compound: CrGaGe3
Source: Alexandria via LeMat-Bulk
Functional: meta-GGA SCAN
Structure: PBEsol geometry

## Properties
- formation energy (eV/atom) = 0.36
- space-group type = Pm-3m, No. 221
- final energy (eV/atom) = -18.034

Unit cell a=4.605 b=4.605 c=4.605 alpha=90.00 beta=90.00 gamma=90.00
Fractional positions:
Ge: 0.500 0.000 0.000
Ge: 0.000 0.500 0.000
Ge: 0.000 0.000 0.500
Cr: 0.000 0.000 0.000
Ga: 0.500 0.500 0.500

=====

Compound: CrGaH2
Source: Alexandria via LeMat-Bulk
Functional: meta-GGA SCAN
Structure: PBEsol geometry

## Properties
- space-group type = Fm-3m, No. 225
- final energy (eV/atom) = -9.819

Unit cell a=3.608 b=3.608 c=3.608 alpha=60.00 beta=60.00 gamma=60.00
Last column: magnetic moment on the atom in μB.
Fractional positions:
H: 0.750 0.750 0.750  -0.04
H: 0.250 0.250 0.250  -0.04
Cr: 0.000 0.000 0.000  2.96
Ga: 0.500 0.500 0.500  -0.12

=====

One value per record, in order, for D(E_F): 3.3 3.1 4.2 8.3 11.3 12.5 2.5 1.1 states/eV/cell.